Entry from the Alexandria database: a relaxed structure of KLiInF5 (GGA-PBE).

a = 6.111 Å, b = 6.111 Å, c = 8.024 Å
α = 103.81°, β = 103.81°, γ = 107.46°
Fractional coordinates of all 16 atoms:
F1 0.635 0.762 0.908
In1 0.000 0.000 0.500
Li1 0.689 0.311 0.250
F2 0.289 0.898 0.606
Li2 0.311 0.689 0.750
F3 0.102 0.711 0.894
In2 0.000 0.000 0.000
F4 0.238 0.365 0.592
K1 0.662 0.338 0.750
F5 0.365 0.238 0.092
F6 0.898 0.289 0.106
F7 0.928 0.072 0.750
F8 0.072 0.928 0.250
F9 0.762 0.635 0.408
F10 0.711 0.102 0.394
K2 0.338 0.662 0.250

Magnetization   0.2 Bohr magnetons per cell
Raw total energy   -4.64 eV/atom
E_form (uncorrected)   -2.756 eV/atom
Crystal system   monoclinic
DOS at the Fermi energy   0.0000 states/eV/atom

---

Entry from the Alexandria database: a relaxed structure of CaSmAgHg (GGA-PBE).

a = 5.288 Å, b = 5.288 Å, c = 5.288 Å
α = 60.00°, β = 60.00°, γ = 60.00°
Fractional coordinates of all 4 atoms:
Ca1 0.000 0.000 0.000
Sm1 0.500 0.500 0.500
Hg1 0.750 0.750 0.750
Ag1 0.250 0.250 0.250

Magnetization   0.0 Bohr magnetons per cell
Raw total energy   -2.88 eV/atom
Crystal system   cubic
DOS at the Fermi energy   0.8482 states/eV/atom
E_form   -0.41 eV per atom

---

Entry from the Alexandria database: a relaxed structure of ThCdIr (GGA-PBE).

a = 4.782 Å, b = 4.782 Å, c = 4.782 Å
α = 60.00°, β = 60.00°, γ = 60.00°
Fractional coordinates of all 3 atoms:
Ir1 0.250 0.250 0.250
Cd1 0.000 0.000 0.000
Th1 0.500 0.500 0.500

Magnetization   0.0 Bohr magnetons per cell
Raw total energy   -6.20 eV/atom
Crystal system   cubic
DOS at the Fermi energy   0.8592 states/eV/atom
E_form   -0.46 eV per atom